No. 1
Here is HfIr3Pb after structural relaxation from Alexandria. Energies are from GGA-PBE.

## Properties
offset from the most stable computed form: 0.0000 eV per atom
symmetry: Pm-3m
raw total energy: -34.49 eV for the cell shown

a = 4.9048 Å, b = 4.9048 Å, c = 4.9048 Å
α = 90.00°, β = 90.00°, γ = 90.00°
Element x y z (fractional)
Hf: 0.0000 0.0000 0.0000
Ir: 0.0000 0.0000 0.5000
Ir: 0.0000 0.5000 0.0000
Ir: 0.5000 0.0000 0.0000
Pb: 0.5000 0.5000 0.5000

No. 2
Here is HfIr2PdPb after structural relaxation from Alexandria. Energies are from GGA-PBE.

## Properties
symmetry: P4/mmm
raw total energy: -31.28 eV for the cell shown

a = 4.9348 Å, b = 4.9348 Å, c = 4.6943 Å
α = 90.00°, β = 90.00°, γ = 90.00°
Element x y z (fractional)
Hf: 0.0000 0.0000 0.0000
Ir: 0.0000 0.5000 0.5000
Ir: 0.5000 0.0000 0.5000
Pd: 0.0000 0.0000 0.5000
Pb: 0.5000 0.5000 0.0000

no.,E_form (eV per atom),total magnetization (μB per atom)
1,1.15,0.00
2,1.06,0.11